## La6NiAg3 (PBE)

Data for an optimized crystal structure of La6NiAg3.

Unit cell a=7.566 b=7.877 c=10.799 alpha=90.00 beta=82.14 gamma=90.00
Element x y z (fractional)
La: 0.135 0.321 0.078
La: 0.203 0.335 0.438
La: 0.865 0.679 0.922
La: 0.836 0.964 0.248
La: 0.664 0.464 0.252
La: 0.297 0.835 0.062
La: 0.164 0.036 0.752
La: 0.703 0.165 0.938
La: 0.797 0.665 0.562
La: 0.635 0.179 0.578
La: 0.336 0.536 0.748
La: 0.365 0.821 0.422
Ag: 0.500 0.500 0.000
Ag: 0.448 0.124 0.223
Ag: 0.000 0.000 0.500
Ag: 0.552 0.876 0.777
Ag: 0.948 0.376 0.723
Ag: 0.052 0.624 0.277
Ni: 0.000 0.000 0.000
Ni: 0.500 0.500 0.500

Computed properties:
Space-group type: P2_1/c (14)
Magnetization: 0.00 μB/atom
DOS at the Fermi energy: 1.24 states/eV per atom
DFT total energy: -4.52 eV per atom